! GGA-PBE AcCdSnHg, optimized geometry; values from VASP
! Final energy ... -10.77 eV for the cell shown
! Energy of formation ... -360 meV per atom
&SYSTEM
  ibrav = 0, nat = 4, ntyp = 4
/
ATOMIC_SPECIES
Ac 227.00 Ac.upf
Cd 112.41 Cd.upf
Hg 200.59 Hg.upf
Sn 118.71 Sn.upf
ATOMIC_POSITIONS angstrom
Ac 1.2260 -2.4667 1.9224
Cd 3.6780 -7.4001 5.7671
Hg 2.4520 -4.9334 3.8447
Sn 0.0000 0.0000 0.0000
CELL_PARAMETERS angstrom
-1.0470 -3.3090 4.2477
1.9141 -5.1405 0.0091
4.0369 -1.4174 3.4326